Entry 1:
# As3IrN

An optimized crystal structure of As3IrN (PBE-GGA, the Alexandria database).

Computed properties:
distance to the lowest polymorph of the same formula = 84.6 kJ per mole of atoms
electronic total energy = -22.8 eV for the cell shown
space-group type = Pm-3m, No. 221
raw formation energy = 161.12 kJ per mole of atoms

a b c (Å): 4.791 4.791 4.791
angles (deg): 90.00 90.00 90.00
Positions (direct):
As 0.000 0.500 0.000
As 0.000 0.000 0.500
As 0.500 0.000 0.000
Ir 0.000 0.000 0.000
N 0.500 0.500 0.500

Entry 2:
# AsIrN3

An optimized crystal structure of AsIrN3 (PBE-GGA, the Alexandria database).

Computed properties:
electronic total energy = -28.9 eV for the cell shown
space-group type = Pm-3m, No. 221
raw formation energy = 185.21 kJ per mole of atoms

a b c (Å): 3.710 3.710 3.710
angles (deg): 90.00 90.00 90.00
Positions (direct):
As 0.000 0.000 0.000
Ir 0.500 0.500 0.500
N 0.000 0.500 0.000
N 0.000 0.000 0.500
N 0.500 0.000 0.000

- Which of these has the lowest raw formation energy?
  As3IrN